Entry from Alexandria via LeMat-Bulk: crystalline Rb2SiBiSe4 at its relaxed geometry (PBE-GGA).

abc: 7.2558 14.1472 24.2502
angles: 90.00 90.00 90.00
With the nearest neighbours (Å) after each atom.
Space group Fddd (No. 70, origin choice 2)
Asymmetric unit:
Rb: 0.1250 0.1250 0.3028 (multiplicity 16)  4 Se 3.61-3.83
Si: 0.1250 0.1250 0.6250 (multiplicity 8)  4 Se 2.30
Bi: 0.1250 0.1250 0.1250 (multiplicity 8)  4 Se 2.94
Se: 0.0608 0.2721 0.8271 (multiplicity 32)  1 Si 2.30

## Properties
**M_tot**: 0.00 Bohr magnetons per cell
**E_form (uncorrected)**: -0.6236 eV/atom
**V**: 38.89 A^3/atom